A:
# LiCuRe2, relaxed, DFT GGA-PBE
data_LiCuRe2
_chemical_formula_sum 'Li1 Cu1 Re2'
_cell_length_a 2.5846
_cell_length_b 4.2829
_cell_length_c 5.0719
_cell_angle_alpha 90.00
_cell_angle_beta 98.37
_cell_angle_gamma 90.00
_symmetry_space_group_name_H-M 'P 1 m 1'
_symmetry_Int_Tables_number 6
loop_
_symmetry_equiv_pos_as_xyz
'x,y,z'
'x,-y,z'
loop_
_atom_site_label
_atom_site_fract_x
_atom_site_fract_y
_atom_site_fract_z
Li1 0.0000 0.0000 0.0000
Cu1 0.0614 0.5000 0.7896
Re1 0.4506 0.0000 0.4982
Re2 0.6708 0.5000 0.2732
# DOS at the Fermi energy ... 1.9 states/eV/f.u.
# Mass density ... 13.2 g/cm3


B:
# LiCuRe2, relaxed, DFT GGA-PBE
data_LiCuRe2
_chemical_formula_sum 'Li1 Cu1 Re2'
_cell_length_a 2.6566
_cell_length_b 3.9833
_cell_length_c 5.3597
_cell_angle_alpha 90.00
_cell_angle_beta 90.00
_cell_angle_gamma 90.00
_symmetry_space_group_name_H-M 'P m m 2'
_symmetry_Int_Tables_number 25
loop_
_symmetry_equiv_pos_as_xyz
'x,y,z'
'-x,-y,z'
'-x,y,z'
'x,-y,z'
loop_
_atom_site_label
_atom_site_fract_x
_atom_site_fract_y
_atom_site_fract_z
Li1 0.0000 0.0000 0.0000
Cu1 0.5000 0.5000 0.7954
Re1 0.0000 0.0000 0.5009
Re2 0.5000 0.5000 0.2941
# DOS at the Fermi energy ... 2.7 states/eV/f.u.
# Mass density ... 13.0 g/cm3


C:
# LiCuRe2, relaxed, DFT GGA-PBE
data_LiCuRe2
_chemical_formula_sum 'Li3 Cu3 Re6'
_cell_length_a 2.6926
_cell_length_b 2.6926
_cell_length_c 27.4791
_cell_angle_alpha 90.00
_cell_angle_beta 90.00
_cell_angle_gamma 120.00
_symmetry_space_group_name_H-M 'R -3 m'
_symmetry_Int_Tables_number 166
_symmetry_space_group_name_Hall '-R 3 2"'
loop_
_atom_site_label
_atom_site_fract_x
_atom_site_fract_y
_atom_site_fract_z
Li1 0.0000 0.0000 0.0000
Cu1 0.0000 0.0000 0.5000
Re1 0.0000 0.0000 0.2463
# DOS at the Fermi energy ... 6.3 states/eV/f.u.
# Mass density ... 12.8 g/cm3


D:
# LiCuRe2, relaxed, DFT GGA-PBE
data_LiCuRe2
_chemical_formula_sum 'Li2 Cu2 Re4'
_cell_length_a 2.9534
_cell_length_b 4.3954
_cell_length_c 8.9324
_cell_angle_alpha 90.00
_cell_angle_beta 90.00
_cell_angle_gamma 90.00
_symmetry_space_group_name_H-M 'C m m 2'
_symmetry_Int_Tables_number 35
loop_
_symmetry_equiv_pos_as_xyz
'x,y,z'
'-x,-y,z'
'-x,y,z'
'x,-y,z'
'x+1/2,y+1/2,z'
'-x+1/2,-y+1/2,z'
'-x+1/2,y+1/2,z'
'x+1/2,-y+1/2,z'
loop_
_atom_site_label
_atom_site_fract_x
_atom_site_fract_y
_atom_site_fract_z
Li1 0.0000 0.0000 0.0000
Cu1 0.0000 0.5000 0.2449
Re1 0.0000 0.0000 0.4923
Re2 0.0000 0.5000 0.7389
# DOS at the Fermi energy ... 2.4 states/eV/f.u.
# Mass density ... 12.7 g/cm3


Result of the stability comparison: A is the most stable of them.


A:
# LiCuRe, relaxed, DFT GGA-PBE
data_LiCuRe
_chemical_formula_sum 'Li4 Cu4 Re4'
_cell_length_a 5.6432
_cell_length_b 5.6432
_cell_length_c 5.6432
_cell_angle_alpha 90.00
_cell_angle_beta 90.00
_cell_angle_gamma 90.00
_symmetry_space_group_name_H-M 'F -4 3 m'
_symmetry_Int_Tables_number 216
_symmetry_space_group_name_Hall 'F -4 2 3'
loop_
_atom_site_label
_atom_site_fract_x
_atom_site_fract_y
_atom_site_fract_z
Li1 0.0000 0.0000 0.0000
Cu1 0.2500 0.2500 0.7500
Re1 0.0000 0.0000 0.5000
# DOS at the Fermi energy ... 4.0 states/eV/f.u.
# Mass density ... 9.5 g/cm3


B:
# LiCuRe, relaxed, DFT GGA-PBE
data_LiCuRe
_chemical_formula_sum 'Li4 Cu4 Re4'
_cell_length_a 2.8730
_cell_length_b 4.3019
_cell_length_c 13.5695
_cell_angle_alpha 90.00
_cell_angle_beta 90.00
_cell_angle_gamma 90.00
_symmetry_space_group_name_H-M 'F m m 2'
_symmetry_Int_Tables_number 42
_symmetry_space_group_name_Hall 'F 2 -2'
loop_
_atom_site_label
_atom_site_fract_x
_atom_site_fract_y
_atom_site_fract_z
Li1 0.0000 0.0000 0.0000
Cu1 0.0000 0.0000 0.6630
Re1 0.0000 0.0000 0.3267
# DOS at the Fermi energy ... 2.8 states/eV/f.u.
# Mass density ... 10.2 g/cm3


C:
# LiCuRe, relaxed, DFT GGA-PBE
data_LiCuRe
_chemical_formula_sum 'Li1 Cu1 Re1'
_cell_length_a 4.2863
_cell_length_b 4.2863
_cell_length_c 2.4576
_cell_angle_alpha 90.00
_cell_angle_beta 90.00
_cell_angle_gamma 120.00
_symmetry_space_group_name_H-M 'P -6 m 2'
_symmetry_Int_Tables_number 187
_symmetry_space_group_name_Hall 'P -6 2'
loop_
_atom_site_label
_atom_site_fract_x
_atom_site_fract_y
_atom_site_fract_z
Li1 0.0000 0.0000 0.0000
Cu1 0.6667 0.3333 0.0000
Re1 0.3333 0.6667 0.5000
# DOS at the Fermi energy ... 2.9 states/eV/f.u.
# Mass density ... 10.9 g/cm3


D:
# LiCuRe, relaxed, DFT GGA-PBE
data_LiCuRe
_chemical_formula_sum 'Li1 Cu1 Re1'
_cell_length_a 2.6579
_cell_length_b 2.6579
_cell_length_c 6.8563
_cell_angle_alpha 90.00
_cell_angle_beta 90.00
_cell_angle_gamma 120.00
_symmetry_space_group_name_H-M 'P 3 m 1'
_symmetry_Int_Tables_number 156
loop_
_symmetry_equiv_pos_as_xyz
'x,y,z'
'-y,x-y,z'
'-x+y,-x,z'
'-y,-x,z'
'-x+y,y,z'
'x,x-y,z'
loop_
_atom_site_label
_atom_site_fract_x
_atom_site_fract_y
_atom_site_fract_z
Li1 0.0000 0.0000 0.0000
Cu1 0.3333 0.6667 0.6751
Re1 0.6667 0.3333 0.3500
# DOS at the Fermi energy ... 1.8 states/eV/f.u.
# Mass density ... 10.2 g/cm3


Result of the stability comparison: D is the most stable of them.


A:
# LiCu3Re, relaxed, DFT GGA-PBE
data_LiCu3Re
_chemical_formula_sum 'Li1 Cu3 Re1'
_cell_length_a 3.9485
_cell_length_b 3.9485
_cell_length_c 3.9485
_cell_angle_alpha 90.00
_cell_angle_beta 90.00
_cell_angle_gamma 90.00
_symmetry_space_group_name_H-M 'P m -3 m'
_symmetry_Int_Tables_number 221
_symmetry_space_group_name_Hall '-P 4 2 3'
loop_
_atom_site_label
_atom_site_fract_x
_atom_site_fract_y
_atom_site_fract_z
Li1 0.0000 0.0000 0.0000
Cu1 0.0000 0.0000 0.5000
Re1 0.5000 0.5000 0.5000
# DOS at the Fermi energy ... 2.1 states/eV/f.u.
# Mass density ... 10.4 g/cm3


B:
# LiCu3Re, relaxed, DFT GGA-PBE
data_LiCu3Re
_chemical_formula_sum 'Li1 Cu3 Re1'
_cell_length_a 4.7107
_cell_length_b 4.7107
_cell_length_c 4.7107
_cell_angle_alpha 90.00
_cell_angle_beta 90.00
_cell_angle_gamma 90.00
_symmetry_space_group_name_H-M 'P m -3 m'
_symmetry_Int_Tables_number 221
_symmetry_space_group_name_Hall '-P 4 2 3'
loop_
_atom_site_label
_atom_site_fract_x
_atom_site_fract_y
_atom_site_fract_z
Li1 0.0000 0.0000 0.0000
Cu1 0.0000 0.5000 0.5000
Re1 0.5000 0.5000 0.5000
# DOS at the Fermi energy ... 5.5 states/eV/f.u.
# Mass density ... 6.1 g/cm3


Result of the stability comparison: A is the most stable of them.